## w
Here is a geometry-optimized CaLa4Zn structure from the Alexandria database. Energies are from PBE.

The structure belongs to space group P4/mmm (No. 123); the cell edges are 3.7529, 3.7529 and 14.6602 Å and the angles 90.00°, 90.00° and 90.00°. Symmetry generates all atoms from Ca at (0.0000, 0.0000, 0.0000), La at (0.0000, 0.0000, 0.3712), La at (0.5000, 0.5000, 0.1943) and Zn at (0.5000, 0.5000, 0.5000).


## x
Here is a geometry-optimized CaLa4Zn structure from the Alexandria database. Energies are from PBE.

The structure belongs to space group F-43m (No. 216); the cell edges are 9.4716, 9.4716 and 9.4716 Å and the angles 90.00°, 90.00° and 90.00°. Symmetry generates all atoms from Ca at (0.0000, 0.0000, 0.0000), La at (0.1220, 0.1220, 0.6220) and Zn at (0.2500, 0.2500, 0.2500).


Stability, lowest: x


## w
Here is a geometry-optimized Ca3LaZn structure from the Alexandria database. Energies are from PBE.

The structure belongs to space group Pm-3m (No. 221); the cell edges are 5.8920, 5.8920 and 5.8920 Å and the angles 90.00°, 90.00° and 90.00°. Symmetry generates all atoms from Ca at (0.0000, 0.0000, 0.5000), La at (0.0000, 0.0000, 0.0000) and Zn at (0.5000, 0.5000, 0.5000).


## x
Here is a geometry-optimized Ca3LaZn structure from the Alexandria database. Energies are from PBE.

The structure belongs to space group Pm-3m (No. 221); the cell edges are 5.7337, 5.7337 and 5.7337 Å and the angles 90.00°, 90.00° and 90.00°. Symmetry generates all atoms from Ca at (0.0000, 0.0000, 0.5000), La at (0.5000, 0.5000, 0.5000) and Zn at (0.0000, 0.0000, 0.0000).


Stability, lowest: w